# 1
Entry from the Open Quantum Materials Database: crystalline KNpCd at its relaxed geometry (PBE).

Cell: 5.450 5.450 5.450 Å, 60.00 60.00 60.00°
Site moments in Bohr magnetons follow the coordinates.
Sites, in units of the cell vectors:
Cd (0.000, 0.000, 0.000)  0.08
K (0.250, 0.250, 0.250)  0.03
Np (0.750, 0.750, 0.750)  4.61

Properties
Excess energy over the best structure of this formula in the dataset   0 meV/atom
Crystal system   cubic



# 2
Entry from the Open Quantum Materials Database: crystalline KNpCdS3 at its relaxed geometry (PBE).

Cell: 7.410 7.410 10.820 Å, 90.00 90.00 147.30°
Site moments in Bohr magnetons follow the coordinates.
Sites, in units of the cell vectors:
Cd (0.536, 0.464, 0.250)  0.01
Cd (0.464, 0.536, 0.750)  0.01
K (0.256, 0.744, 0.250)  0.00
K (0.744, 0.256, 0.750)  0.00
Np (0.000, 0.000, 0.000)  3.92
Np (0.000, 0.000, 0.500)  3.92
S (0.626, 0.374, 0.052)  -0.06
S (0.930, 0.070, 0.250)  -0.03
S (0.626, 0.374, 0.448)  -0.06
S (0.374, 0.626, 0.552)  -0.06
S (0.070, 0.930, 0.750)  -0.03
S (0.374, 0.626, 0.948)  -0.06

Properties
Total energy   -5.620 eV/atom
Crystal system   orthorhombic